Compound: MgZrNi17
Source: Alexandria via LeMat-Bulk
Functional: PBE-GGA
Structure: optimized geometry

calculated density = 8.03 Mg/m³
total magnetization = 7.29 μB per formula unit
E = -109.9 eV for the cell shown
volume = 12.1 Å³/atom

Geometry as POSCAR:
```
MgZrNi17
1.0
6.1307 0.0320 0.7591
0.6748 6.0935 0.7591
0.0356 0.0320 6.1774
Ni Zr Mg
17 1 1
Cartesian
4.5278 1.8884 6.9291
2.5440 6.1178 5.3084
3.0634 0.0197 0.3834
2.3528 4.3048 6.9291
4.1242 0.9929 4.6394
6.1442 5.5303 6.9117
1.4200 3.9973 4.6394
2.4011 2.1612 5.7377
4.4411 3.9973 1.9538
5.4168 2.1612 3.0568
0.3408 3.0444 0.3834
2.7174 5.1603 3.0568
4.9738 6.1178 3.1485
6.6057 4.3048 3.1485
0.6751 0.6077 0.7595
0.0218 0.0197 3.0872
6.3509 1.8884 5.3084
4.5406 4.0869 5.1077
2.3289 2.0962 2.6198
```